# 1
Sr2TlAu3: optimized geometry, GGA-PBE.

a b c (Å): 4.446 4.290 9.613
angles (deg): 102.89 103.37 90.00
Element x y z (fractional)
1 Au 0.296 0.796 0.592
2 Au 0.706 0.706 0.411
3 Sr 0.853 0.353 0.707
4 Au 0.555 0.555 0.110
5 Sr 0.133 0.133 0.267
6 Tl 0.457 0.957 0.913


# 2
Sr2Tl3Au: optimized geometry, GGA-PBE.

a b c (Å): 3.996 5.135 8.946
angles (deg): 90.00 90.00 90.00
Element x y z (fractional)
1 Sr 0.000 0.500 0.023
2 Tl 0.500 0.000 0.834
3 Au 0.500 0.500 0.329
4 Sr 0.000 0.000 0.483
5 Tl 0.500 0.500 0.655
6 Tl 0.500 0.000 0.175

Output
- Energy above the lowest structure with this stoichiometry: 0 meV per atom


| no. | theoretical density (Mg/m³) | VASP energy (eV per atom) | formation energy from the elements (eV/atom) |
| --- | --- | --- | --- |
| 1 | 9.28 | -3.1969 | -0.603 |
| 2 | 8.91 | -2.7171 | -0.427 |